This record from Alexandria via LeMat-Bulk describes a geometry-optimized LiScCu structure. The functional is GGA-PBE.

```
3
Lattice="0.000 3.092 3.092 3.092 0.000 3.092 3.092 3.092 0.000" Properties=species:S:1:pos:R:3 pbc="T T T"
Li 0.000 0.000 0.000
Sc 3.092 3.092 3.092
Cu 4.638 4.638 4.638
```

ΔE_f ... 0.15 eV per atom
Density ... 3.24 g/cm³